Entry 1:
The following is a PBE calculation of HoGa4Pd6 after structural relaxation, from the Alexandria database.

Results
Calculated density = 9542 kg/m3
ΔE to the lowest computed polymorph = 182 meV per atom
Calculated volume = 188.36 Å³ per cell

abc: 7.692 7.692 7.692
angles: 139.74 139.74 58.25
Atoms (fractional coordinates):
Ho1 0.000 0.000 0.000
Ga1 0.176 0.553 0.000
Ga2 0.447 0.447 0.623
Ga3 0.553 0.176 0.000
Ga4 0.824 0.824 0.377
Pd1 0.000 0.500 0.500
Pd2 0.038 0.038 0.430
Pd3 0.393 0.962 0.000
Pd4 0.500 0.000 0.500
Pd5 0.607 0.607 0.570
Pd6 0.962 0.393 0.000



Entry 2:
The following is a PBE calculation of InAgPbN2 after structural relaxation, from the Alexandria database.

Results
Calculated density = 6767 kg/m3
Energy relative to the elements, uncorrected = 1548 meV per atom
Calculated volume = 112.36 Å³ per cell

abc: 4.435 4.435 5.713
angles: 90.00 90.00 90.00
Atoms (fractional coordinates):
In1 0.000 0.000 0.000
Ag1 0.500 0.500 0.000
Pb1 0.500 0.500 0.500
N1 0.000 0.500 0.500
N2 0.500 0.000 0.500



Entry 3:
The following is a PBE calculation of La2CePrTl4 after structural relaxation, from the Alexandria database.

Results
Calculated density = 9218 kg/m3
VASP energy = -32.88 eV/cell
Calculated volume = 247.94 Å³ per cell

abc: 9.690 9.690 9.690
angles: 33.58 33.58 33.58
Atoms (fractional coordinates):
La1 0.250 0.250 0.250
La2 0.750 0.750 0.750
Ce1 0.000 0.000 0.000
Pr1 0.500 0.500 0.500
Tl1 0.125 0.125 0.125
Tl2 0.375 0.375 0.375
Tl3 0.625 0.625 0.625
Tl4 0.875 0.875 0.875



Q: Look up the calculated density of the second one.
A: 6767 kg/m3



Q: Which of these has the highest calculated density?
A: HoGa4Pd6



Q: Among the records above, which one has the highest calculated density?
A: HoGa4Pd6